#1
A plane-wave DFT calculation with PBE-GGA was carried out for an optimized crystal structure of InGa6Ag12.

abc: 7.7552 7.7552 7.7552
angles: 109.47 109.47 109.47
Sites, in units of the cell vectors:
In 0.0000 0.0000 0.0000
Ga 0.1409 0.6409 0.5000
Ga 0.3591 0.5000 0.8591
Ga 0.5000 0.1409 0.6409
Ga 0.5000 0.8591 0.3591
Ga 0.6409 0.5000 0.1409
Ga 0.8591 0.3591 0.5000
Ag 0.0409 0.7895 0.2514
Ag 0.2105 0.2514 0.4620
Ag 0.2105 0.7486 0.9591
Ag 0.2514 0.0409 0.7895
Ag 0.2514 0.4620 0.2105
Ag 0.4620 0.2105 0.2514
Ag 0.5380 0.7895 0.7486
Ag 0.7486 0.5380 0.7895
Ag 0.7486 0.9591 0.2105
Ag 0.7895 0.2514 0.0409
Ag 0.7895 0.7486 0.5380
Ag 0.9591 0.2105 0.7486

The total magnetic moment comes out at 0.0 μB per formula unit. As for the space group: Im-3, No. 204.

#2
A plane-wave DFT calculation with PBE-GGA was carried out for an optimized crystal structure of InGa6Ag12.

abc: 7.5991 7.5991 7.5991
angles: 106.38 106.38 106.38
Sites, in units of the cell vectors:
In 0.0000 0.0000 0.0000
Ga 0.2988 0.2988 0.6952
Ga 0.2988 0.6952 0.2988
Ga 0.3048 0.7012 0.7012
Ga 0.6952 0.2988 0.2988
Ga 0.7012 0.3048 0.7012
Ga 0.7012 0.7012 0.3048
Ag 0.1143 0.3561 0.3561
Ag 0.1161 0.5000 0.8839
Ag 0.1161 0.8839 0.5000
Ag 0.3561 0.1143 0.3561
Ag 0.3561 0.3561 0.1143
Ag 0.5000 0.1161 0.8839
Ag 0.5000 0.8839 0.1161
Ag 0.6439 0.6439 0.8857
Ag 0.6439 0.8857 0.6439
Ag 0.8839 0.1161 0.5000
Ag 0.8839 0.5000 0.1161
Ag 0.8857 0.6439 0.6439

The total magnetic moment comes out at 0.0 μB per formula unit. As for the space group: R-3m, No. 166.

On energetic grounds, #2 is preferred over the next structure by 0.015 eV/atom.

#1
A plane-wave DFT calculation with PBE-GGA was carried out for an optimized crystal structure of In2Ga2Ag.

abc: 6.7825 6.7825 6.7825
angles: 141.76 141.76 55.19
Sites, in units of the cell vectors:
In 0.2500 0.7500 0.5000
In 0.7500 0.2500 0.5000
Ga 0.1005 0.1005 0.0000
Ga 0.8995 0.8995 0.0000
Ag 0.5000 0.5000 0.0000

The total magnetic moment comes out at 0.0 μB per formula unit. As for the space group: I4/mmm, No. 139.

#2
A plane-wave DFT calculation with PBE-GGA was carried out for an optimized crystal structure of In2Ga2Ag.

abc: 7.4471 7.4471 7.4471
angles: 127.69 71.60 134.77
Sites, in units of the cell vectors:
In 0.1077 0.1511 0.2587
In 0.3923 0.6511 0.0434
In 0.6077 0.3489 0.9566
In 0.8923 0.8489 0.7413
Ga 0.1594 0.7154 0.8747
Ga 0.3406 0.2154 0.5560
Ga 0.6594 0.7846 0.4440
Ga 0.8406 0.2846 0.1253
Ag 0.2500 0.7500 0.5000
Ag 0.7500 0.2500 0.5000

The total magnetic moment comes out at 0.0 μB per formula unit. As for the space group: Ibam, No. 72.

On energetic grounds, #2 is preferred over the next structure by 0.174 eV/atom.

#1
A plane-wave DFT calculation with PBE-GGA was carried out for an optimized crystal structure of In2Ga2Ag.

abc: 6.8974 6.8974 4.7088
angles: 90.00 90.00 90.00
Sites, in units of the cell vectors:
In 0.1754 0.3246 0.0000
In 0.3246 0.8246 0.0000
In 0.6754 0.1754 0.0000
In 0.8246 0.6754 0.0000
Ga 0.1354 0.6354 0.5000
Ga 0.3646 0.1354 0.5000
Ga 0.6354 0.8646 0.5000
Ga 0.8646 0.3646 0.5000
Ag 0.0000 0.0000 0.5000
Ag 0.5000 0.5000 0.5000

The total magnetic moment comes out at 0.0 μB per formula unit. As for the space group: P4/mbm, No. 127.

#2
A plane-wave DFT calculation with PBE-GGA was carried out for an optimized crystal structure of In2Ga2Ag.

abc: 7.7485 7.7485 3.8871
angles: 90.00 90.00 90.00
Sites, in units of the cell vectors:
In 0.1703 0.3297 0.0000
In 0.3297 0.8297 0.0000
In 0.6703 0.1703 0.0000
In 0.8297 0.6703 0.0000
Ga 0.1308 0.6308 0.5000
Ga 0.3692 0.1308 0.5000
Ga 0.6308 0.8692 0.5000
Ga 0.8692 0.3692 0.5000
Ag 0.0000 0.0000 0.0000
Ag 0.5000 0.5000 0.0000

The total magnetic moment comes out at 0.0 μB per formula unit. As for the space group: P4/mbm, No. 127.

On energetic grounds, #1 is preferred over the next structure by 0.087 eV/atom.

#1
A plane-wave DFT calculation with PBE-GGA was carried out for an optimized crystal structure of In3GaAg.

abc: 9.5765 9.5765 5.9639
angles: 90.09 90.09 60.14
Sites, in units of the cell vectors:
In 0.0564 0.2396 0.4554
In 0.1825 0.6825 0.9994
In 0.2396 0.0564 0.9554
In 0.2595 0.4452 0.4539
In 0.3175 0.8175 0.5006
In 0.4452 0.2595 0.9539
In 0.5548 0.7405 0.0461
In 0.6825 0.1825 0.4994
In 0.7405 0.5548 0.5461
In 0.7604 0.9436 0.0446
In 0.8175 0.3175 0.0006
In 0.9436 0.7604 0.5446
Ga 0.0987 0.4026 0.8504
Ga 0.4026 0.0987 0.3504
Ga 0.5974 0.9013 0.6496
Ga 0.9013 0.5974 0.1496
Ag 0.0045 0.9955 0.2500
Ag 0.4955 0.5045 0.7500
Ag 0.5045 0.4955 0.2500
Ag 0.9955 0.0045 0.7500

The total magnetic moment comes out at 0.0 μB per formula unit. As for the space group: C2/c, No. 15.

#2
A plane-wave DFT calculation with PBE-GGA was carried out for an optimized crystal structure of In3GaAg.

abc: 5.3461 5.3461 5.3461
angles: 90.00 90.00 90.00
Sites, in units of the cell vectors:
In 0.0000 0.0000 0.5000
In 0.0000 0.5000 0.0000
In 0.5000 0.0000 0.0000
Ga 0.5000 0.5000 0.5000
Ag 0.0000 0.0000 0.0000

The total magnetic moment comes out at 0.0 μB per formula unit. As for the space group: Pm-3m, No. 221.

#3
A plane-wave DFT calculation with PBE-GGA was carried out for an optimized crystal structure of In3GaAg.

abc: 5.3340 5.3340 5.3340
angles: 90.00 90.00 90.00
Sites, in units of the cell vectors:
In 0.0000 0.0000 0.5000
In 0.0000 0.5000 0.0000
In 0.5000 0.0000 0.0000
Ga 0.0000 0.0000 0.0000
Ag 0.5000 0.5000 0.5000

The total magnetic moment comes out at 0.0 μB per formula unit. As for the space group: Pm-3m, No. 221.

On energetic grounds, #1 is preferred over the next structure by 0.287 eV/atom.

#1
A plane-wave DFT calculation with PBE-GGA was carried out for an optimized crystal structure of InGaAg5.

abc: 4.9668 4.9668 10.9116
angles: 90.00 90.00 79.99
Sites, in units of the cell vectors:
In 0.1516 0.8484 0.7500
In 0.8484 0.1516 0.2500
Ga 0.5000 0.5000 0.0000
Ga 0.5000 0.5000 0.5000
Ag 0.0653 0.3371 0.6079
Ag 0.0653 0.3371 0.8921
Ag 0.3371 0.0653 0.1079
Ag 0.3371 0.0653 0.3921
Ag 0.4216 0.5784 0.2500
Ag 0.5784 0.4216 0.7500
Ag 0.6629 0.9347 0.6079
Ag 0.6629 0.9347 0.8921
Ag 0.9347 0.6629 0.1079
Ag 0.9347 0.6629 0.3921

The total magnetic moment comes out at 0.0 μB per formula unit. As for the space group: Cmcm, No. 63.

#2
A plane-wave DFT calculation with PBE-GGA was carried out for an optimized crystal structure of InGaAg5.

abc: 5.5060 5.5060 10.5323
angles: 98.28 98.28 60.06
Sites, in units of the cell vectors:
In 0.1777 0.8223 0.7500
In 0.8223 0.1777 0.2500
Ga 0.5000 0.5000 0.0000
Ga 0.5000 0.5000 0.5000
Ag 0.0859 0.2288 0.5559
Ag 0.1864 0.3417 0.8326
Ag 0.2288 0.0859 0.0559
Ag 0.3193 0.6807 0.2500
Ag 0.3417 0.1864 0.3326
Ag 0.6583 0.8136 0.6674
Ag 0.6807 0.3193 0.7500
Ag 0.7712 0.9141 0.9441
Ag 0.8136 0.6583 0.1674
Ag 0.9141 0.7712 0.4441

The total magnetic moment comes out at 0.0 μB per formula unit. As for the space group: C2/c, No. 15.

On energetic grounds, #1 is preferred over the next structure by 0.042 eV/atom.

#1
A plane-wave DFT calculation with PBE-GGA was carried out for an optimized crystal structure of In2GaAg5.

abc: 5.1126 12.3018 9.9090
angles: 90.00 98.75 90.00
Sites, in units of the cell vectors:
In 0.1210 0.0722 0.1242
In 0.1210 0.4278 0.6242
In 0.3701 0.5669 0.8743
In 0.3701 0.9331 0.3743
In 0.6299 0.0669 0.6257
In 0.6299 0.4331 0.1257
In 0.8790 0.5722 0.3758
In 0.8790 0.9278 0.8758
Ga 0.3727 0.2074 0.3725
Ga 0.3727 0.2925 0.8725
Ga 0.6273 0.7074 0.1275
Ga 0.6273 0.7926 0.6275
Ag 0.1244 0.6938 0.6247
Ag 0.1244 0.8062 0.1247
Ag 0.1275 0.1815 0.6229
Ag 0.1275 0.3185 0.1229
Ag 0.1285 0.5657 0.1249
Ag 0.1285 0.9343 0.6249
Ag 0.3762 0.0581 0.8738
Ag 0.3762 0.4419 0.3738
Ag 0.3783 0.6878 0.3745
Ag 0.3783 0.8122 0.8745
Ag 0.6217 0.1878 0.1255
Ag 0.6217 0.3122 0.6255
Ag 0.6238 0.5581 0.6262
Ag 0.6238 0.9419 0.1262
Ag 0.8715 0.0657 0.3751
Ag 0.8715 0.4343 0.8751
Ag 0.8725 0.6815 0.8771
Ag 0.8725 0.8185 0.3771
Ag 0.8756 0.1938 0.8753
Ag 0.8756 0.3062 0.3753

The total magnetic moment comes out at 0.0 μB per formula unit. As for the space group: P2_1/c, No. 14.

#2
A plane-wave DFT calculation with PBE-GGA was carried out for an optimized crystal structure of In2GaAg5.

abc: 6.2674 6.2674 4.8549
angles: 90.00 90.00 90.00
Sites, in units of the cell vectors:
In 0.0000 0.5000 0.0000
In 0.5000 0.0000 0.0000
Ga 0.0000 0.0000 0.5000
Ag 0.0000 0.0000 0.0000
Ag 0.2837 0.2837 0.5000
Ag 0.2837 0.7163 0.5000
Ag 0.7163 0.2837 0.5000
Ag 0.7163 0.7163 0.5000

The total magnetic moment comes out at 0.0 μB per formula unit. As for the space group: P4/mmm, No. 123.

On energetic grounds, #1 is preferred over the next structure by 0.276 eV/atom.